Record 1
YCd3Cu | PBE-GGA | relaxed

a = 5.9490 Å, b = 5.9490 Å, c = 5.9490 Å
α = 90.00°, β = 90.00°, γ = 90.00°
Closest atoms and distances in Å follow each position.
Positions (direct):
Y 0.0000 0.0000 0.0000  6 Cd 2.97
Cd 0.0000 0.0000 0.5000  2 Y 2.97
Cd 0.0000 0.5000 0.0000  2 Y 2.97
Cd 0.5000 0.0000 0.0000  2 Y 2.97
Cu 0.5000 0.5000 0.5000  12 Cd 4.21

Summary:
energy relative to the elements: 23.86 kcal/mol of atoms
total DFT energy (no corrections): -1.626 eV per atom

***

Record 2
YCdCu3 | PBE-GGA | relaxed

a = 5.1560 Å, b = 5.1560 Å, c = 5.1560 Å
α = 90.00°, β = 90.00°, γ = 90.00°
Closest atoms and distances in Å follow each position.
Positions (direct):
Y 0.0000 0.0000 0.0000  6 Cu 2.58
Cd 0.5000 0.5000 0.5000  12 Cu 3.65
Cu 0.0000 0.0000 0.5000  2 Y 2.58
Cu 0.0000 0.5000 0.0000  2 Y 2.58
Cu 0.5000 0.0000 0.0000  2 Y 2.58

Summary:
energy relative to the elements: 24.18 kcal/mol of atoms
total DFT energy (no corrections): -2.885 eV per atom

***

Question: What is the formula in the second record?
Answer: YCdCu3

***

Question: Which value of energy relative to the elements does entry 1 give?
Answer: 23.86 kcal/mol of atoms

***

Question: What is the formula in the second record?
Answer: YCdCu3

***

Question: Number 1 is which compound?
Answer: YCd3Cu